No. 1
Density functional theory data (GGA-PBEsol) for an optimized crystal structure of KLi2Os2.

a b c (Å): 3.5407 3.5407 9.5239
angles (deg): 100.71 100.71 90.00
Closest atoms and distances in Å follow each position.
Atoms (fractional coordinates):
K (0.0000, 0.0000, 0.0000)  4 K 3.54, 8 Li 3.62
Os (0.2500, 0.7500, 0.5000)  4 Os 2.50, 4 Li 2.66
Os (0.7500, 0.2500, 0.5000)  4 Os 2.50, 4 Li 2.66
Li (0.3579, 0.3579, 0.7157)  4 Os 2.66
Li (0.6421, 0.6421, 0.2843)  4 Os 2.66

- M_tot: 0.00 Bohr magnetons per cell
- Symmetry: No. 139
- ΔH_f (0 K): 0.70 eV/atom

No. 2
Density functional theory data (GGA-PBEsol) for an optimized crystal structure of KLiOs2.

a b c (Å): 3.6208 3.6208 5.8150
angles (deg): 108.14 108.14 90.00
Closest atoms and distances in Å follow each position.
Atoms (fractional coordinates):
K (0.5000, 0.5000, 0.0000)  4 Li 2.56
Li (0.0000, 0.0000, 0.0000)  4 K 2.56
Os (0.7500, 0.2500, 0.5000)  4 Os 2.56
Os (0.2500, 0.7500, 0.5000)  4 Os 2.56

- M_tot: 0.00 Bohr magnetons per cell
- Symmetry: No. 139
- ΔH_f (0 K): 1.10 eV/atom